No. 1
{"formula": "Sm3B4C2", "functional": "PBE-GGA", "state": "relaxed", "ef_ev_per_atom": -0.06, "dos_at_fermi_per_ev_atom": 0.377, "lattice_angstrom": [[3.098, 0.000, 0.000], [-1.549, 4.960, -0.713], [0.000, -2.986, 8.192]], "species": ["Sm", "Sm", "Sm", "C", "C", "B", "B", "B", "B"], "fractional_positions": [[0.000, 0.000, 0.000], [0.370, 0.741, 0.317], [0.630, 0.259, 0.683], [0.666, 0.332, 0.366], [0.334, 0.668, 0.634], [0.834, 0.667, 0.560], [0.256, 0.512, 0.978], [0.166, 0.333, 0.440], [0.744, 0.488, 0.022]]}



No. 2
{"formula": "BaZrUSe6", "functional": "PBE-GGA", "state": "relaxed", "formation_energy_uncorrected_mev_per_atom": -1301.5, "lattice_angstrom": [[6.991, 0.000, 0.000], [-3.495, 6.054, 0.000], [0.000, 0.000, 14.167]], "species": ["Se", "Se", "Se", "Se", "Se", "Se", "Se", "Se", "Se", "Se", "Se", "Se", "U", "U", "Ba", "Ba", "Zr", "Zr"], "fractional_positions": [[0.384, 0.000, 0.137], [0.384, 0.384, 0.363], [0.616, 0.000, 0.863], [0.616, 0.616, 0.137], [0.000, 0.384, 0.137], [0.384, 0.384, 0.863], [0.384, 0.000, 0.637], [0.616, 0.000, 0.363], [0.000, 0.616, 0.363], [0.000, 0.384, 0.637], [0.000, 0.616, 0.863], [0.616, 0.616, 0.637], [0.333, 0.667, 0.750], [0.667, 0.333, 0.250], [0.000, 0.000, 0.000], [0.000, 0.000, 0.500], [0.667, 0.333, 0.750], [0.333, 0.667, 0.250]]}



No. 3
{"formula": "LiBe2Ru", "functional": "PBE-GGA", "state": "relaxed", "ef_ev_per_atom": 0.23, "dos_at_fermi_per_ev_atom": 0.658, "lattice_angstrom": [[-0.230, -2.369, -0.813], [-0.532, 0.184, 2.452], [-7.670, 1.350, -1.764]], "species": ["Be", "Be", "Ru", "Li"], "fractional_positions": [[0.000, 0.000, 0.003], [0.500, 0.500, 0.226], [0.500, 0.500, 0.775], [0.000, 0.000, 0.496]]}



Result set for size of the total moment: 0.000, 0.000, 0.000 μB per formula unit, one per record in the order listed.
Result set for E_tot: -59.9, -108.8, -17.7 eV per cell, one per record in the order listed.